[1]
Crystalline Pr3Zn7Ni4 at its relaxed geometry, computed with PBE-GGA.

As for the space-group type: C2/m, No. 12. The calculation puts the density of states at the Fermi level at 0.586 states/eV/atom. As for the crystal system: monoclinic. The value obtained for the formation energy from the elements is -326 meV per atom.

Cell lengths 7.872, 7.872, 9.252 Å; angles 122.42, 122.42, 31.36 degrees
Element x y z (fractional)
Pr 0.000 0.000 0.000
Pr 0.304 0.304 0.298
Pr 0.696 0.696 0.702
Zn 0.000 0.000 0.500
Zn 0.144 0.144 0.414
Zn 0.325 0.325 0.981
Zn 0.494 0.494 0.711
Zn 0.506 0.506 0.289
Zn 0.675 0.675 0.019
Zn 0.856 0.856 0.586
Ni 0.112 0.112 0.827
Ni 0.331 0.331 0.709
Ni 0.669 0.669 0.291
Ni 0.888 0.888 0.173

[2]
Crystalline PrZnNi2 at its relaxed geometry, computed with PBE-GGA.

As for the space-group type: P6_3/mmc, No. 194. The calculation puts the density of states at the Fermi level at 0.629 states/eV/atom. As for the crystal system: hexagonal. The value obtained for the formation energy from the elements is -343 meV per atom.

Cell lengths 4.204, 4.204, 9.381 Å; angles 90.00, 90.00, 120.00 degrees
Element x y z (fractional)
Pr 0.333 0.667 0.250
Pr 0.667 0.333 0.750
Zn 0.000 0.000 0.000
Zn 0.000 0.000 0.500
Ni 0.333 0.667 0.550
Ni 0.333 0.667 0.950
Ni 0.667 0.333 0.050
Ni 0.667 0.333 0.450

[3]
Crystalline Pr8ZnNi2 at its relaxed geometry, computed with PBE-GGA.

As for the space-group type: Cm, No. 8. The calculation puts the density of states at the Fermi level at 1.291 states/eV/atom. As for the crystal system: monoclinic. The value obtained for the formation energy from the elements is -36 meV per atom.

Cell lengths 8.158, 8.158, 5.713 Å; angles 98.71, 98.71, 116.02 degrees
Element x y z (fractional)
Pr 0.000 0.000 0.000
Pr 0.050 0.301 0.617
Pr 0.146 0.625 0.185
Pr 0.301 0.050 0.617
Pr 0.472 0.722 0.753
Pr 0.625 0.146 0.185
Pr 0.722 0.472 0.753
Pr 0.773 0.773 0.371
Zn 0.387 0.387 0.182
Ni 0.092 0.681 0.686
Ni 0.681 0.092 0.686

[4]
Crystalline Pr3Zn2Ni9 at its relaxed geometry, computed with PBE-GGA.

As for the space-group type: Immm, No. 71. The calculation puts the density of states at the Fermi level at 0.745 states/eV/atom. As for the crystal system: orthorhombic. The value obtained for the formation energy from the elements is -247 meV per atom.

Cell lengths 7.937, 7.937, 7.937 Å; angles 150.44, 108.91, 78.82 degrees
Element x y z (fractional)
Pr 0.000 0.000 0.000
Pr 0.305 0.305 0.000
Pr 0.695 0.695 0.000
Zn 0.283 0.500 0.783
Zn 0.717 0.500 0.217
Ni 0.006 0.696 0.310
Ni 0.166 0.892 0.275
Ni 0.383 0.108 0.275
Ni 0.385 0.696 0.690
Ni 0.500 0.000 0.500
Ni 0.615 0.304 0.310
Ni 0.617 0.892 0.725
Ni 0.834 0.108 0.725
Ni 0.994 0.304 0.690

[5]
Crystalline Pr2ZnNi at its relaxed geometry, computed with PBE-GGA.

As for the space-group type: P2_1/m, No. 11. The calculation puts the density of states at the Fermi level at 0.802 states/eV/atom. As for the crystal system: monoclinic. The value obtained for the formation energy from the elements is -275 meV per atom.

Cell lengths 6.049, 4.531, 7.759 Å; angles 90.00, 112.84, 90.00 degrees
Element x y z (fractional)
Pr 0.210 0.250 0.431
Pr 0.238 0.250 0.919
Pr 0.762 0.750 0.081
Pr 0.790 0.750 0.569
Zn 0.342 0.750 0.213
Zn 0.658 0.250 0.787
Ni 0.401 0.750 0.718
Ni 0.599 0.250 0.282

[6]
Crystalline PrZn2Ni5 at its relaxed geometry, computed with PBE-GGA.

As for the space-group type: Immm, No. 71. The calculation puts the density of states at the Fermi level at 0.309 states/eV/atom. As for the crystal system: orthorhombic. The value obtained for the formation energy from the elements is -143 meV per atom.

Cell lengths 6.149, 6.149, 6.149 Å; angles 144.33, 117.04, 74.52 degrees
Element x y z (fractional)
Pr 0.000 0.000 0.000
Zn 0.260 0.760 0.500
Zn 0.740 0.240 0.500
Ni 0.184 0.372 0.812
Ni 0.440 0.628 0.812
Ni 0.500 0.000 0.500
Ni 0.560 0.372 0.188
Ni 0.816 0.628 0.188

[7]
Crystalline Pr3Zn4Ni4 at its relaxed geometry, computed with PBE-GGA.

As for the space-group type: P-1, No. 2. The calculation puts the density of states at the Fermi level at 0.723 states/eV/atom. As for the crystal system: triclinic. The value obtained for the formation energy from the elements is -324 meV per atom.

Cell lengths 3.950, 4.068, 13.371 Å; angles 81.40, 81.55, 89.99 degrees
Element x y z (fractional)
Pr 0.000 0.000 0.000
Pr 0.150 0.650 0.701
Pr 0.850 0.350 0.299
Zn 0.251 0.250 0.500
Zn 0.403 0.902 0.195
Zn 0.597 0.098 0.805
Zn 0.749 0.750 0.500
Ni 0.307 0.807 0.384
Ni 0.455 0.453 0.091
Ni 0.545 0.547 0.909
Ni 0.693 0.193 0.616

[8]
Crystalline Pr2ZnNi7 at its relaxed geometry, computed with PBE-GGA.

As for the space-group type: P-4m2, No. 115. The calculation puts the density of states at the Fermi level at 1.459 states/eV/atom. As for the crystal system: tetragonal. The value obtained for the formation energy from the elements is -180 meV per atom.

Cell lengths 3.919, 3.919, 10.294 Å; angles 90.00, 90.00, 90.00 degrees
Element x y z (fractional)
Pr 0.000 0.500 0.238
Pr 0.500 0.000 0.762
Zn 0.000 0.000 0.500
Ni 0.000 0.000 0.000
Ni 0.000 0.500 0.640
Ni 0.000 0.500 0.866
Ni 0.500 0.000 0.134
Ni 0.500 0.000 0.360
Ni 0.500 0.500 0.000
Ni 0.500 0.500 0.500

[9]
Crystalline Pr2ZnNi at its relaxed geometry, computed with PBE-GGA.

As for the space-group type: Fm-3m, No. 225. The calculation puts the density of states at the Fermi level at 0.800 states/eV/atom. As for the crystal system: cubic. The value obtained for the formation energy from the elements is -212 meV per atom.

Cell lengths 5.126, 5.126, 5.126 Å; angles 60.00, 60.00, 60.00 degrees
Element x y z (fractional)
Pr 0.250 0.250 0.250
Pr 0.750 0.750 0.750
Zn 0.000 0.000 0.000
Ni 0.500 0.500 0.500

[10]
Crystalline PrZnNi at its relaxed geometry, computed with PBE-GGA.

As for the space-group type: I4mm, No. 107. The calculation puts the density of states at the Fermi level at 0.679 states/eV/atom. As for the crystal system: tetragonal. The value obtained for the formation energy from the elements is -172 meV per atom.

Cell lengths 5.671, 5.671, 5.671 Å; angles 145.49, 145.49, 49.61 degrees
Element x y z (fractional)
Pr 0.000 0.000 0.000
Zn 0.711 0.711 0.000
Ni 0.310 0.310 0.000

[11]
Crystalline Pr2ZnNi2 at its relaxed geometry, computed with PBE-GGA.

As for the space-group type: C2/c, No. 15. The calculation puts the density of states at the Fermi level at 0.793 states/eV/atom. As for the crystal system: monoclinic. The value obtained for the formation energy from the elements is -330 meV per atom.

Cell lengths 5.557, 5.557, 7.926 Å; angles 103.00, 103.00, 59.85 degrees
Element x y z (fractional)
Pr 0.005 0.701 0.853
Pr 0.299 0.995 0.647
Pr 0.701 0.005 0.353
Pr 0.995 0.299 0.147
Zn 0.357 0.643 0.250
Zn 0.643 0.357 0.750
Ni 0.219 0.502 0.494
Ni 0.498 0.781 0.006
Ni 0.502 0.219 0.994
Ni 0.781 0.498 0.506

[12]
Crystalline Pr2Zn12Ni5 at its relaxed geometry, computed with PBE-GGA.

As for the space-group type: R-3m, No. 166. The calculation puts the density of states at the Fermi level at 0.521 states/eV/atom. As for the crystal system: trigonal. The value obtained for the formation energy from the elements is -284 meV per atom.

Cell lengths 6.676, 6.676, 6.676 Å; angles 84.01, 84.01, 84.01 degrees
Element x y z (fractional)
Pr 0.162 0.162 0.162
Pr 0.838 0.838 0.838
Zn 0.159 0.159 0.636
Zn 0.159 0.636 0.159
Zn 0.217 0.500 0.783
Zn 0.217 0.783 0.500
Zn 0.364 0.841 0.841
Zn 0.500 0.217 0.783
Zn 0.500 0.783 0.217
Zn 0.636 0.159 0.159
Zn 0.783 0.217 0.500
Zn 0.783 0.500 0.217
Zn 0.841 0.364 0.841
Zn 0.841 0.841 0.364
Ni 0.000 0.500 0.500
Ni 0.398 0.398 0.398
Ni 0.500 0.000 0.500
Ni 0.500 0.500 0.000
Ni 0.602 0.602 0.602

Copy entry 5 word for word.
Crystalline Pr2ZnNi at its relaxed geometry, computed with PBE-GGA.

As for the space-group type: P2_1/m, No. 11. The calculation puts the density of states at the Fermi level at 0.802 states/eV/atom. As for the crystal system: monoclinic. The value obtained for the formation energy from the elements is -275 meV per atom.

Cell lengths 6.049, 4.531, 7.759 Å; angles 90.00, 112.84, 90.00 degrees
Element x y z (fractional)
Pr 0.210 0.250 0.431
Pr 0.238 0.250 0.919
Pr 0.762 0.750 0.081
Pr 0.790 0.750 0.569
Zn 0.342 0.750 0.213
Zn 0.658 0.250 0.787
Ni 0.401 0.750 0.718
Ni 0.599 0.250 0.282

Q: Which value of formation energy from the elements does entry 11 give?
A: -330 meV per atom

Q: Which formula does entry 2 have?
A: PrZnNi2